A relaxed Nd12HoIn6 crystal, computed with GGA-PBE.

a b c (Å): 8.3829 8.3829 8.3829
angles (deg): 89.09 89.09 89.09
Fractional positions:
In: 0.1215 0.7443 0.2703
In: 0.8785 0.2557 0.7297
In: 0.2557 0.7297 0.8785
In: 0.2703 0.1215 0.7443
In: 0.7443 0.2703 0.1215
In: 0.7297 0.8785 0.2557
Nd: 0.5649 0.1912 0.4734
Nd: 0.9277 0.8759 0.6171
Nd: 0.3829 0.0723 0.1241
Nd: 0.6171 0.9277 0.8759
Nd: 0.8088 0.5266 0.4351
Nd: 0.0723 0.1241 0.3829
Nd: 0.4351 0.8088 0.5266
Nd: 0.8759 0.6171 0.9277
Nd: 0.1912 0.4734 0.5649
Nd: 0.1241 0.3829 0.0723
Nd: 0.4734 0.5649 0.1912
Nd: 0.5266 0.4351 0.8088
Ho: 0.0000 0.0000 0.0000

Output
As for the total magnetic moment: 0.000 μB/atom. The energy of formation is -0.24 eV/atom. Its total energy is -4.36 eV/atom. As for the space-group type: R-3. Its theoretical density is 7.29 g/cm3.



A relaxed K2AcNdS4 crystal, computed with GGA-PBE.

a b c (Å): 4.3162 7.4836 7.8125
angles (deg): 108.55 90.00 90.00
Fractional positions:
Ac: 0.0000 0.0000 0.0000
K: 0.5000 0.0000 0.5000
K: 0.0000 0.5000 0.5000
S: 0.0000 0.2733 0.7918
S: 0.5000 0.2480 0.2124
S: 0.0000 0.7267 0.2082
S: 0.5000 0.7520 0.7876
Nd: 0.5000 0.5000 0.0000

Output
As for the total magnetic moment: 0.000 μB/atom. The formation energy from raw total energies is -1.86 eV per atom. Its total energy is -5.31 eV/atom. As for the space-group type: P2/m. Its theoretical density is 4.01 g/cm3.



Question: What is the total magnetic moment in the second record?
Answer: 0.000 μB/atom